Record 1
VASP calculation (PBE) on BaCr2Au after structural relaxation.

abc: 5.127 5.127 6.005
angles: 101.80 101.80 36.65
Atoms (fractional coordinates):
Ba  0.000  0.000  0.000
Cr  0.226  0.226  0.602
Cr  0.774  0.774  0.398
Au  0.500  0.500  0.500

Results
- symmetry = C2/m

---

Record 2
VASP calculation (PBE) on BaCrAu2 after structural relaxation.

abc: 5.144 5.144 3.811
angles: 90.00 90.00 90.09
Atoms (fractional coordinates):
Ba  0.000  0.000  0.000
Cr  0.500  0.500  0.000
Au  0.000  0.500  0.500
Au  0.500  0.000  0.500

Results
- symmetry = Cmmm

---

Record 3
VASP calculation (PBE) on BaCrAu2 after structural relaxation.

abc: 3.605 3.669 7.330
angles: 90.00 90.07 90.00
Atoms (fractional coordinates):
Ba  0.000  0.000  0.000
Cr  0.000  0.000  0.500
Au  0.500  0.500  0.308
Au  0.500  0.500  0.692

Results
- symmetry = P2/m

---

Record 4
VASP calculation (PBE) on BaCrAu3 after structural relaxation.

abc: 6.036 6.036 6.036
angles: 90.00 90.00 90.00
Atoms (fractional coordinates):
Ba  0.000  0.000  0.000
Cr  0.500  0.500  0.500
Au  0.000  0.000  0.500
Au  0.000  0.500  0.000
Au  0.500  0.000  0.000

Results
- symmetry = Pm-3m

---

Record 5
VASP calculation (PBE) on Ba2CrAu after structural relaxation.

abc: 4.780 4.780 8.779
angles: 105.69 105.69 59.85
Atoms (fractional coordinates):
Ba  0.241  0.241  0.224
Ba  0.759  0.759  0.776
Cr  0.000  0.000  0.500
Au  0.500  0.500  0.000

Results
- symmetry = C2/m

---

Record 6
VASP calculation (PBE) on Ba2CrAu after structural relaxation.

abc: 8.854 8.854 8.854
angles: 31.16 31.16 31.16
Atoms (fractional coordinates):
Ba  0.000  0.000  0.000
Ba  0.174  0.174  0.174
Cr  0.754  0.754  0.754
Au  0.420  0.420  0.420

Results
- symmetry = R3m

---

Record 7
VASP calculation (PBE) on BaCrAu after structural relaxation.

abc: 6.341 6.341 6.341
angles: 145.03 145.03 50.28
Atoms (fractional coordinates):
Ba  0.000  0.000  0.000
Cr  0.717  0.717  0.000
Au  0.297  0.297  0.000

Results
- symmetry = I4mm

---

Record 8
VASP calculation (PBE) on Ba3CrAu after structural relaxation.

abc: 6.341 6.341 6.341
angles: 90.00 90.00 90.00
Atoms (fractional coordinates):
Ba  0.000  0.000  0.500
Ba  0.000  0.500  0.000
Ba  0.500  0.000  0.000
Cr  0.500  0.500  0.500
Au  0.000  0.000  0.000

Results
- symmetry = Pm-3m

---

Number 1: ΔE_f 0.57 eV per atom, relative energy among the computed polymorphs 0.240 eV/atom. Number 2: ΔE_f 0.04 eV per atom, relative energy among the computed polymorphs 0.279 eV/atom. Number 3: ΔE_f -0.09 eV per atom, relative energy among the computed polymorphs 0.148 eV/atom. Number 4: ΔE_f 0.95 eV per atom, relative energy among the computed polymorphs 0.873 eV/atom. Number 5: ΔE_f 0.18 eV per atom, relative energy among the computed polymorphs 0.201 eV/atom. Number 6: ΔE_f -0.02 eV per atom, relative energy among the computed polymorphs 0.000 eV/atom. Number 7: ΔE_f 0.16 eV per atom, relative energy among the computed polymorphs 0.122 eV/atom. Number 8: ΔE_f 0.20 eV per atom, relative energy among the computed polymorphs 0.000 eV/atom.